Entry from Alexandria via LeMat-Bulk: a relaxed structure of CaCrF2 (PBE+U).

Structure (extended XYZ):
```
4
Lattice="-0.403 -4.186 -1.501 -3.770 -1.298 -2.009 -0.026 -0.804 -4.392" Properties=species:S:1:pos:R:3 pbc="T T T"
Cr -2.099 -3.144 -3.951
Ca 0.000 0.000 0.000
F -1.050 -1.572 -1.975
F -3.149 -4.716 -5.926
```

Values from the calculation:
Its total magnetization is 5.78 μB per cell. Its density of states at the Fermi level is 3.162 states/eV/cell. The uncorrected energy is -5.13 eV/atom.